TbScAl after structural relaxation, computed with PBE-GGA.

Crystal system: tetragonal
Formation energy, eV/atom: -0.191
Energy, eV per atom: -5.093
Energy relative to the lowest polymorph listed for this composition, eV/f.u.: 0.28

Unit cell a=3.2594 b=3.2594 c=14.0078 alpha=96.68 beta=96.68 gamma=90.00
Closest atoms and distances in Å follow each position.
Fractional coordinates of all 6 atoms:
Sc 0.2934 0.2934 0.5868  4 Al 2.98, 8 Sc 3.26-3.33
Sc 0.7066 0.7066 0.4132  4 Al 2.98, 8 Sc 3.26-3.33
Tb 0.5642 0.5642 0.1284  4 Al 3.08, 4 Tb 3.26
Tb 0.4358 0.4358 0.8716  4 Al 3.08, 4 Tb 3.26
Al 0.1380 0.1380 0.2761  4 Sc 2.98, 4 Tb 3.08, 4 Al 3.26
Al 0.8620 0.8620 0.7239  4 Sc 2.98, 4 Tb 3.08, 4 Al 3.26